No. 1
Ti3CuCl, optimized geometry, DFT PBE; formation energy (no corrections) = 3.29 eV per formula unit; energy above the most stable polymorph in this dataset = 459 meV per atom; size of the total moment = 3.42 μB/f.u.; crystal system = cubic
1.0
-3.246 3.322 -0.833
-1.521 -0.369 4.451
3.069 3.331 1.325
Ti Cl Cu
3 1 1
Cartesian
1.534 1.665 0.662
-0.760 -0.185 2.226
-1.623 1.661 -0.417
-0.849 3.142 2.471
0.000 0.000 0.000

No. 2
Sr2ScBr, optimized geometry, DFT PBE; formation energy (no corrections) = -1.40 eV per formula unit; energy above the most stable polymorph in this dataset = 176 meV per atom; size of the total moment = 0.00 μB/f.u.; crystal system = orthorhombic
1.0
-0.315 3.468 1.566
0.765 -2.815 2.464
10.680 1.628 -1.457
Br Sr Sc
1 2 1
Cartesian
5.581 0.851 -0.761
3.345 0.802 1.589
10.378 1.582 -1.415
7.847 1.488 0.975

In the order shown, the computed VASP energy values come out to -5.267 -3.193 eV/atom.